The following is a PBE-GGA calculation of crystalline BaLa2AlO at its relaxed geometry, from the Alexandria database.

Its crystal system is tetragonal. The density of states at the Fermi level is 1.345 states/eV/atom. The calculation puts the distance to the lowest polymorph of the same formula at 1509.1 meV/atom. The formation energy without anion corrections is 1.74 eV/f.u. The calculation puts the total DFT energy (no corrections) at -18.74 eV/cell.

a = 6.2273 Å, b = 6.2273 Å, c = 4.5006 Å
α = 90.00°, β = 90.00°, γ = 90.00°
Last column: nearest neighbours and their distance in Å.
Space group P4/mmm (No. 123)
Asymmetric unit:
Ba 0.0000 0.0000 0.0000 (multiplicity 1)  2 O 2.25
La 0.0000 0.5000 0.0000 (multiplicity 2)  2 Ba 3.11
Al 0.5000 0.5000 0.5000 (multiplicity 1)  8 La 3.84
O 0.0000 0.0000 0.5000 (multiplicity 1)  2 Ba 2.25